Mg6Pd12Rh: relaxed, PBE.

Values from the calculation:
Its spin magnetization is 0.000 μB per atom. The value obtained for the calculated volume is 16.80 Å³/atom. As for the density of states at the Fermi level: 12.984 states/eV per cell. The value obtained for the formation energy is -0.40 eV/atom.

Cell lengths 7.2728, 7.2728, 7.2728 Å; angles 107.12, 107.12, 107.12 degrees
With the nearest neighbours (Å) after each atom.
Fractional coordinates of all 19 atoms:
1 Mg 0.7949 0.9019 0.5589  8 Pd 2.66-2.95, 1 Rh 2.87
2 Mg 0.4411 0.2051 0.0981  8 Pd 2.66-2.95, 1 Rh 2.87
3 Mg 0.0981 0.4411 0.2051  8 Pd 2.66-2.95, 1 Rh 2.87
4 Mg 0.2051 0.0981 0.4411  8 Pd 2.66-2.95, 1 Rh 2.87
5 Mg 0.5589 0.7949 0.9019  8 Pd 2.66-2.95, 1 Rh 2.87
6 Mg 0.9019 0.5589 0.7949  8 Pd 2.66-2.95, 1 Rh 2.87
7 Pd 0.8137 0.5044 0.3946  6 Pd 2.65-2.88, 4 Mg 2.66-2.87
8 Pd 0.3946 0.8137 0.5044  6 Pd 2.65-2.88, 4 Mg 2.66-2.87
9 Pd 0.5044 0.3946 0.8137  6 Pd 2.65-2.88, 4 Mg 2.66-2.87
10 Pd 0.1863 0.4956 0.6054  6 Pd 2.65-2.88, 4 Mg 2.66-2.87
11 Pd 0.6054 0.1863 0.4956  6 Pd 2.65-2.88, 4 Mg 2.66-2.87
12 Pd 0.4956 0.6054 0.1863  6 Pd 2.65-2.88, 4 Mg 2.66-2.87
13 Pd 0.8843 0.7240 0.1697  5 Pd 2.65-2.90, 4 Mg 2.67-2.95, 1 Rh 2.71
14 Pd 0.2760 0.8303 0.1157  5 Pd 2.65-2.90, 4 Mg 2.67-2.95, 1 Rh 2.71
15 Pd 0.8303 0.1157 0.2760  5 Pd 2.65-2.90, 4 Mg 2.67-2.95, 1 Rh 2.71
16 Pd 0.1157 0.2760 0.8303  5 Pd 2.65-2.90, 4 Mg 2.67-2.95, 1 Rh 2.71
17 Pd 0.7240 0.1697 0.8843  5 Pd 2.65-2.90, 4 Mg 2.67-2.95, 1 Rh 2.71
18 Pd 0.1697 0.8843 0.7240  5 Pd 2.65-2.90, 4 Mg 2.67-2.95, 1 Rh 2.71
19 Rh 0.0000 0.0000 0.0000  6 Pd 2.71, 6 Mg 2.87

AlCuRe: relaxed, PBE.

Values from the calculation:
Its spin magnetization is 0.000 μB per atom. The value obtained for the calculated volume is 13.95 Å³/atom. As for the density of states at the Fermi level: 2.110 states/eV per cell. The value obtained for the formation energy is -0.04 eV/atom. The excess energy over the best structure of this formula in the dataset comes out at 0.080 eV/atom.

Cell lengths 4.5359, 4.2648, 4.8529 Å; angles 90.00, 116.89, 90.00 degrees
With the nearest neighbours (Å) after each atom.
Fractional coordinates of all 6 atoms:
1 Re 0.3500 0.2500 0.5039  2 Re 2.54, 5 Cu 2.70-2.84, 5 Al 2.71-2.83
2 Re 0.6500 0.7500 0.4961  2 Re 2.54, 5 Cu 2.70-2.84, 5 Al 2.71-2.83
3 Al 0.6854 0.2500 0.1568  4 Cu 2.52-2.69, 4 Re 2.71-2.74, 2 Al 2.72
4 Al 0.3146 0.7500 0.8432  4 Cu 2.52-2.69, 4 Re 2.71-2.74, 2 Al 2.72
5 Cu 0.0200 0.2500 0.8484  4 Al 2.52-2.69, 2 Cu 2.64, 4 Re 2.70-2.77
6 Cu 0.9800 0.7500 0.1516  4 Al 2.52-2.69, 2 Cu 2.64, 4 Re 2.70-2.77

NaGe2B2: relaxed, PBE.

Values from the calculation:
Its spin magnetization is 0.000 μB per atom. The value obtained for the calculated volume is 14.45 Å³/atom. As for the density of states at the Fermi level: 0.855 states/eV per cell. The value obtained for the formation energy is 0.57 eV/atom. The excess energy over the best structure of this formula in the dataset comes out at 0.000 eV/atom.

Cell lengths 3.9616, 3.9616, 5.3889 Å; angles 68.43, 68.43, 90.00 degrees
With the nearest neighbours (Å) after each atom.
Fractional coordinates of all 5 atoms:
1 Na 0.0000 0.0000 0.0000  8 B 3.04, 10 Ge 3.08-3.32
2 Ge 0.3611 0.3611 0.2778  4 B 2.23
3 Ge 0.6389 0.6389 0.7222  4 B 2.23
4 B 0.7500 0.2500 0.5000  4 Ge 2.23
5 B 0.2500 0.7500 0.5000  4 Ge 2.23

Tm2IrRh: relaxed, PBE.

Values from the calculation:
Its spin magnetization is 0.000 μB per atom. The value obtained for the calculated volume is 19.27 Å³/atom. As for the density of states at the Fermi level: 1.715 states/eV per cell. The value obtained for the formation energy is -0.97 eV/atom. The excess energy over the best structure of this formula in the dataset comes out at 0.000 eV/atom.

Cell lengths 4.7771, 4.7771, 4.7771 Å; angles 60.00, 60.00, 60.00 degrees
With the nearest neighbours (Å) after each atom.
Fractional coordinates of all 4 atoms:
1 Rh 0.0000 0.0000 0.0000  8 Tm 2.93
2 Ir 0.5000 0.5000 0.5000  8 Tm 2.93
3 Tm 0.2500 0.2500 0.2500  4 Rh 2.93, 4 Ir 2.93
4 Tm 0.7500 0.7500 0.7500  4 Rh 2.93, 4 Ir 2.93